! ZnTeW (PBE-GGA, relaxed); values from VASP
! Total moment: 0.0 μB/f.u.
! SG: I4mm
! Energy relative to the elements, uncorrected: 0.4235 eV/atom
! ΔE to the lowest computed polymorph: 0 meV/atom
&SYSTEM
  ibrav = 0, nat = 6, ntyp = 3
/
ATOMIC_SPECIES
Zn 65.41 Zn.upf
Te 127.60 Te.upf
W 183.84 W.upf
ATOMIC_POSITIONS angstrom
Zn 0.000 0.000 0.000
Zn 1.731 1.731 4.382
Te 0.000 0.000 5.959
Te 1.731 1.731 1.577
W 0.000 0.000 2.962
W 1.731 1.731 7.343
CELL_PARAMETERS angstrom
3.462 0.000 0.000
0.000 3.462 0.000
0.000 0.000 8.763